#i
Bi2Pt3Pb2 (PBE-GGA, relaxed); crystal system = triclinic; V = 174.8 Å³ per cell
1.0
3.906 0.000 0.000
0.004 6.326 0.000
1.927 0.035 7.072
Bi Pt Pb
2 3 2
direct
0.145 0.421 0.206
0.855 0.579 0.794
0.246 0.822 0.015
0.500 0.500 0.500
0.754 0.178 0.985
0.393 0.114 0.702
0.607 0.886 0.298

=====

#ii
Bi2Pt3Pb2 (PBE-GGA, relaxed); crystal system = monoclinic; V = 354.0 Å³ per cell
1.0
7.146 0.000 0.000
0.000 7.239 0.000
-2.201 0.000 6.844
Bi Pt Pb
4 6 4
direct
0.128 0.162 0.355
0.128 0.338 0.855
0.872 0.662 0.145
0.872 0.838 0.645
0.244 0.004 0.738
0.244 0.496 0.238
0.500 0.000 0.500
0.500 0.500 0.000
0.756 0.504 0.762
0.756 0.996 0.262
0.359 0.652 0.613
0.359 0.848 0.113
0.641 0.152 0.887
0.641 0.348 0.387

=====

Most stable: #ii

=====

#i
Bi2Pt2Pb (PBE-GGA, relaxed); crystal system = tetragonal; V = 264.2 Å³ per cell
1.0
3.919 0.000 0.000
0.000 3.919 0.000
0.000 0.000 17.209
Bi Pt Pb
4 4 2
direct
0.000 0.000 0.131
0.000 0.000 0.869
0.500 0.500 0.369
0.500 0.500 0.631
0.000 0.500 0.250
0.000 0.500 0.750
0.500 0.000 0.250
0.500 0.000 0.750
0.000 0.000 0.500
0.500 0.500 0.000

=====

#ii
Bi2Pt2Pb (PBE-GGA, relaxed); crystal system = tetragonal; V = 242.2 Å³ per cell
1.0
8.605 0.000 0.000
0.000 8.605 0.000
0.000 0.000 3.272
Bi Pt Pb
4 4 2
direct
0.140 0.360 0.000
0.360 0.860 0.000
0.640 0.140 0.000
0.860 0.640 0.000
0.155 0.655 0.500
0.345 0.155 0.500
0.655 0.845 0.500
0.845 0.345 0.500
0.000 0.000 0.000
0.500 0.500 0.000

=====

Most stable: #i

=====

#i
Bi2Pt2Pb (PBE-GGA, relaxed); crystal system = trigonal; V = 387.2 Å³ per cell
1.0
4.176 0.000 0.000
-2.088 3.617 0.000
0.000 0.000 25.636
Bi Pt Pb
6 6 3
direct
0.000 0.000 0.219
0.000 0.000 0.781
0.333 0.667 0.448
0.333 0.667 0.885
0.667 0.333 0.115
0.667 0.333 0.552
0.000 0.000 0.393
0.000 0.000 0.607
0.333 0.667 0.060
0.333 0.667 0.274
0.667 0.333 0.726
0.667 0.333 0.940
0.000 0.000 0.000
0.333 0.667 0.667
0.667 0.333 0.333

=====

#ii
Bi2Pt2Pb (PBE-GGA, relaxed); crystal system = monoclinic; V = 254.5 Å³ per cell
1.0
5.732 0.000 0.000
0.000 4.330 0.000
-1.050 0.000 10.254
Bi Pt Pb
4 4 2
direct
0.097 0.250 0.372
0.246 0.250 0.043
0.754 0.750 0.957
0.903 0.750 0.628
0.235 0.750 0.867
0.325 0.750 0.505
0.675 0.250 0.495
0.765 0.250 0.133
0.408 0.250 0.713
0.592 0.750 0.287

=====

#iii
Bi2Pt2Pb (PBE-GGA, relaxed); crystal system = tetragonal; V = 262.2 Å³ per cell
1.0
4.970 0.000 0.000
0.000 4.970 0.000
0.000 0.000 10.612
Bi Pt Pb
4 4 2
direct
0.000 0.500 0.250
0.000 0.500 0.750
0.500 0.000 0.250
0.500 0.000 0.750
0.000 0.000 0.124
0.000 0.000 0.876
0.500 0.500 0.376
0.500 0.500 0.624
0.000 0.000 0.500
0.500 0.500 0.000

=====

Most stable: #ii

=====

#i
Bi2PtPb8 (PBE-GGA, relaxed); crystal system = monoclinic; V = 342.0 Å³ per cell
1.0
9.563 -2.672 0.000
9.563 2.672 0.000
-2.568 0.000 6.692
Bi Pt Pb
2 1 8
direct
0.167 0.167 0.115
0.833 0.833 0.885
0.500 0.500 0.500
0.006 0.006 0.733
0.209 0.209 0.612
0.356 0.356 0.188
0.395 0.395 0.708
0.605 0.605 0.292
0.644 0.644 0.812
0.791 0.791 0.388
0.994 0.994 0.267

=====

#ii
Bi2PtPb8 (PBE-GGA, relaxed); crystal system = monoclinic; V = 345.9 Å³ per cell
1.0
10.599 -2.165 0.000
10.599 2.165 0.000
-1.105 0.000 7.538
Bi Pt Pb
2 1 8
direct
0.178 0.178 0.262
0.822 0.822 0.738
0.500 0.500 0.500
0.015 0.015 0.267
0.209 0.209 0.840
0.367 0.367 0.453
0.406 0.406 0.019
0.594 0.594 0.981
0.633 0.633 0.547
0.791 0.791 0.160
0.985 0.985 0.733

=====

Most stable: #ii

=====

#i
BiPtPb (PBE-GGA, relaxed); crystal system = cubic; V = 319.8 Å³ per cell
1.0
6.839 0.000 0.000
0.000 6.839 0.000
0.000 0.000 6.839
Bi Pt Pb
4 4 4
direct
0.000 0.000 0.000
0.000 0.500 0.500
0.500 0.000 0.500
0.500 0.500 0.000
0.250 0.250 0.250
0.250 0.750 0.750
0.750 0.250 0.750
0.750 0.750 0.250
0.000 0.000 0.500
0.000 0.500 0.000
0.500 0.000 0.000
0.500 0.500 0.500

=====

#ii
BiPtPb (PBE-GGA, relaxed); crystal system = orthorhombic; V = 310.6 Å³ per cell
1.0
3.248 -6.470 0.000
3.248 6.470 0.000
0.000 0.000 7.391
Bi Pt Pb
4 4 4
direct
0.185 0.815 0.923
0.315 0.685 0.423
0.685 0.315 0.577
0.815 0.185 0.077
0.116 0.884 0.561
0.384 0.616 0.061
0.616 0.384 0.939
0.884 0.116 0.439
0.202 0.298 0.750
0.298 0.202 0.250
0.702 0.798 0.750
0.798 0.702 0.250

=====

#iii
BiPtPb (PBE-GGA, relaxed); crystal system = trigonal; V = 81.8 Å³ per cell
1.0
3.989 0.000 0.000
-1.994 3.454 0.000
0.000 0.000 5.936
Bi Pt Pb
1 1 1
direct
0.000 0.000 0.000
0.667 0.333 0.261
0.333 0.667 0.541

=====

Most stable: #i

=====

#i
PuBi2Pb (PBE-GGA, relaxed); crystal system = cubic; V = 500.2 Å³ per cell
1.0
7.938 0.000 0.000
0.000 7.938 0.000
0.000 0.000 7.938
Pu Bi Pb
4 8 4
direct
0.000 0.000 0.000
0.000 0.500 0.500
0.500 0.000 0.500
0.500 0.500 0.000
0.250 0.250 0.250
0.250 0.250 0.750
0.250 0.750 0.250
0.250 0.750 0.750
0.750 0.250 0.250
0.750 0.250 0.750
0.750 0.750 0.250
0.750 0.750 0.750
0.000 0.000 0.500
0.000 0.500 0.000
0.500 0.000 0.000
0.500 0.500 0.500

=====

#ii
PuBi2Pb (PBE-GGA, relaxed); crystal system = tetragonal; V = 118.8 Å³ per cell
1.0
5.024 0.000 0.000
0.000 5.024 0.000
0.000 0.000 4.706
Pu Bi Pb
1 2 1
direct
0.000 0.000 0.000
0.000 0.500 0.500
0.500 0.000 0.500
0.500 0.500 0.000

=====

#iii
PuBi2Pb (PBE-GGA, relaxed); crystal system = tetragonal; V = 239.1 Å³ per cell
1.0
4.860 0.000 0.000
0.000 4.860 0.000
0.000 0.000 10.122
Pu Bi Pb
2 4 2
direct
0.000 0.000 0.000
0.500 0.500 0.500
0.000 0.500 0.250
0.000 0.500 0.750
0.500 0.000 0.250
0.500 0.000 0.750
0.000 0.000 0.500
0.500 0.500 0.000

=====

#iv
PuBi2Pb (PBE-GGA, relaxed); crystal system = trigonal; V = 418.6 Å³ per cell
1.0
4.610 0.000 0.000
-2.305 3.993 0.000
0.000 0.000 22.742
Pu Bi Pb
3 6 3
direct
0.000 0.000 0.000
0.333 0.667 0.667
0.667 0.333 0.333
0.000 0.000 0.256
0.000 0.000 0.744
0.333 0.667 0.410
0.333 0.667 0.923
0.667 0.333 0.077
0.667 0.333 0.590
0.000 0.000 0.500
0.333 0.667 0.167
0.667 0.333 0.833

=====

Most stable: #ii

=====

#i
PuBiPb2 (PBE-GGA, relaxed); crystal system = monoclinic; V = 119.1 Å³ per cell
1.0
5.975 0.000 0.000
0.000 3.501 0.000
-1.844 0.000 5.695
Pu Bi Pb
1 1 2
direct
0.000 0.000 0.000
0.500 0.500 0.000
0.000 0.500 0.500
0.500 0.000 0.500

=====

#ii
PuBiPb2 (PBE-GGA, relaxed); crystal system = tetragonal; V = 117.0 Å³ per cell
1.0
4.815 0.000 0.000
0.000 4.815 0.000
0.000 0.000 5.048
Pu Bi Pb
1 1 2
direct
0.000 0.000 0.000
0.500 0.500 0.000
0.000 0.500 0.500
0.500 0.000 0.500

=====

#iii
PuBiPb2 (PBE-GGA, relaxed); crystal system = tetragonal; V = 120.1 Å³ per cell
1.0
4.242 0.000 0.000
0.000 4.242 0.000
0.000 0.000 6.676
Pu Bi Pb
1 1 2
direct
0.000 0.000 0.000
0.000 0.000 0.500
0.500 0.500 0.252
0.500 0.500 0.748

=====

#iv
PuBiPb2 (PBE-GGA, relaxed); crystal system = trigonal; V = 374.0 Å³ per cell
1.0
3.454 0.000 0.000
-1.727 2.991 0.000
0.000 0.000 36.200
Pu Bi Pb
3 3 6
direct
0.000 0.000 0.000
0.333 0.667 0.667
0.667 0.333 0.333
0.000 0.000 0.500
0.333 0.667 0.167
0.667 0.333 0.833
0.000 0.000 0.411
0.000 0.000 0.589
0.333 0.667 0.077
0.333 0.667 0.256
0.667 0.333 0.744
0.667 0.333 0.923

=====

Most stable: #ii

=====

#i
PuBiPb (PBE-GGA, relaxed); crystal system = orthorhombic; V = 351.9 Å³ per cell
1.0
4.628 0.000 0.000
0.000 16.622 0.000
0.000 0.000 4.575
Pu Bi Pb
4 4 4
direct
0.000 0.089 0.250
0.000 0.911 0.750
0.500 0.411 0.750
0.500 0.589 0.250
0.000 0.425 0.250
0.000 0.575 0.750
0.500 0.075 0.750
0.500 0.925 0.250
0.000 0.254 0.750
0.000 0.746 0.250
0.500 0.246 0.250
0.500 0.754 0.750

=====

#ii
PuBiPb (PBE-GGA, relaxed); crystal system = tetragonal; V = 177.8 Å³ per cell
1.0
4.045 0.000 0.000
0.000 4.045 0.000
0.000 0.000 10.869
Pu Bi Pb
2 2 2
direct
0.000 0.000 0.000
0.500 0.500 0.500
0.000 0.000 0.671
0.500 0.500 0.171
0.000 0.000 0.321
0.500 0.500 0.821

=====

Most stable: #i